Entry 1:
Entry from Alexandria via LeMat-Bulk: a relaxed Sc2ZnRu crystal (PBE-GGA).

Unit cell a=5.137 b=5.137 c=5.137 alpha=133.65 beta=133.65 gamma=67.63
Fractional coordinates of all 4 atoms:
Sc 0.000 0.000 0.000
Sc 0.750 0.250 0.500
Zn 0.250 0.750 0.500
Ru 0.500 0.500 0.000

Properties
DFT formation energy ... -0.288 eV/atom
Magnetization ... 0.0 μB/cell

***

Entry 2:
Entry from Alexandria via LeMat-Bulk: a relaxed Sc2ZnRu crystal (PBE-GGA).

Unit cell a=4.581 b=4.581 c=4.581 alpha=60.00 beta=60.00 gamma=60.00
Fractional coordinates of all 4 atoms:
Sc 0.000 0.000 0.000
Sc 0.250 0.250 0.250
Zn 0.750 0.750 0.750
Ru 0.500 0.500 0.500

Properties
DFT formation energy ... -0.227 eV/atom
Magnetization ... 0.0 μB/cell

***

Entry 3:
Entry from Alexandria via LeMat-Bulk: a relaxed Sc2ZnRu crystal (PBE-GGA).

Unit cell a=3.261 b=3.261 c=6.707 alpha=90.00 beta=90.00 gamma=90.00
Fractional coordinates of all 4 atoms:
Sc 0.000 0.000 0.230
Sc 0.000 0.000 0.770
Zn 0.500 0.500 0.500
Ru 0.500 0.500 0.000

Properties
DFT formation energy ... -0.539 eV/atom
Magnetization ... 0.0 μB/cell

***

Entry 4:
Entry from Alexandria via LeMat-Bulk: a relaxed ScZnRu2 crystal (PBE-GGA).

Unit cell a=2.900 b=3.906 c=5.451 alpha=90.00 beta=90.00 gamma=90.00
Fractional coordinates of all 4 atoms:
Sc 0.000 0.000 0.000
Zn 0.500 0.500 0.268
Ru 0.000 0.000 0.519
Ru 0.500 0.500 0.739

Properties
DFT formation energy ... -0.166 eV/atom
Magnetization ... 0.0 μB/cell

***

Entry 5:
Entry from Alexandria via LeMat-Bulk: a relaxed ScZnRu2 crystal (PBE-GGA).

Unit cell a=2.825 b=2.825 c=8.398 alpha=90.00 beta=90.00 gamma=113.00
Fractional coordinates of all 4 atoms:
Sc 0.000 0.000 0.000
Zn 0.000 0.000 0.500
Ru 0.500 0.500 0.253
Ru 0.500 0.500 0.747

Properties
DFT formation energy ... -0.031 eV/atom
Magnetization ... 0.0 μB/cell

***

Entry 6:
Entry from Alexandria via LeMat-Bulk: a relaxed Sc5ZnRu6 crystal (PBE-GGA).

Unit cell a=7.787 b=7.787 c=7.787 alpha=146.57 beta=131.45 gamma=60.23
Fractional coordinates of all 12 atoms:
Sc 0.000 0.000 0.000
Sc 0.169 0.669 0.500
Sc 0.340 0.340 0.000
Sc 0.660 0.660 0.000
Sc 0.831 0.331 0.500
Zn 0.500 0.000 0.500
Ru 0.086 0.836 0.251
Ru 0.249 0.500 0.749
Ru 0.415 0.164 0.251
Ru 0.585 0.836 0.749
Ru 0.751 0.500 0.251
Ru 0.914 0.164 0.749

Properties
DFT formation energy ... -0.422 eV/atom
Magnetization ... 0.0 μB/cell

***

Entry 7:
Entry from Alexandria via LeMat-Bulk: a relaxed Sc2ZnRu crystal (PBE-GGA).

Unit cell a=5.903 b=5.903 c=5.903 alpha=103.34 beta=103.34 gamma=122.59
Fractional coordinates of all 8 atoms:
Sc 0.094 0.625 0.969
Sc 0.375 0.344 0.469
Sc 0.656 0.125 0.031
Sc 0.875 0.906 0.531
Zn 0.250 0.750 0.500
Zn 0.500 0.500 0.000
Ru 0.000 0.000 0.000
Ru 0.750 0.250 0.500

Properties
DFT formation energy ... -0.048 eV/atom
Magnetization ... 0.0 μB/cell

***

Entry 8:
Entry from Alexandria via LeMat-Bulk: a relaxed ScZnRu2 crystal (PBE-GGA).

Unit cell a=4.441 b=4.441 c=4.441 alpha=60.00 beta=60.00 gamma=60.00
Fractional coordinates of all 4 atoms:
Sc 0.000 0.000 0.000
Zn 0.250 0.250 0.250
Ru 0.500 0.500 0.500
Ru 0.750 0.750 0.750

Properties
DFT formation energy ... -0.090 eV/atom
Magnetization ... 0.8 μB/cell

***

Entry 9:
Entry from Alexandria via LeMat-Bulk: a relaxed ScZnRu2 crystal (PBE-GGA).

Unit cell a=5.636 b=5.636 c=5.636 alpha=103.30 beta=103.30 gamma=122.68
Fractional coordinates of all 8 atoms:
Sc 0.000 0.000 0.000
Sc 0.750 0.250 0.500
Zn 0.250 0.750 0.500
Zn 0.500 0.500 0.000
Ru 0.146 0.125 0.521
Ru 0.375 0.854 0.979
Ru 0.604 0.625 0.479
Ru 0.875 0.396 0.021

Properties
DFT formation energy ... 0.285 eV/atom
Magnetization ... 0.0 μB/cell

***

Entry 10:
Entry from Alexandria via LeMat-Bulk: a relaxed Sc6ZnRu5 crystal (PBE-GGA).

Unit cell a=7.878 b=7.878 c=7.878 alpha=146.34 beta=131.16 gamma=60.63
Fractional coordinates of all 12 atoms:
Sc 0.072 0.329 0.743
Sc 0.237 0.000 0.237
Sc 0.414 0.671 0.743
Sc 0.586 0.329 0.257
Sc 0.763 0.000 0.763
Sc 0.928 0.671 0.257
Zn 0.500 0.500 0.000
Ru 0.000 0.500 0.500
Ru 0.167 0.167 0.000
Ru 0.338 0.838 0.500
Ru 0.662 0.162 0.500
Ru 0.833 0.833 0.000

Properties
DFT formation energy ... -0.569 eV/atom
Magnetization ... 0.0 μB/cell

***

Entry 11:
Entry from Alexandria via LeMat-Bulk: a relaxed Sc5Zn4Ru crystal (PBE-GGA).

Unit cell a=3.311 b=3.311 c=16.741 alpha=90.00 beta=90.00 gamma=90.00
Fractional coordinates of all 10 atoms:
Sc 0.000 0.000 0.000
Sc 0.000 0.000 0.203
Sc 0.000 0.000 0.409
Sc 0.000 0.000 0.591
Sc 0.000 0.000 0.797
Zn 0.500 0.500 0.101
Zn 0.500 0.500 0.304
Zn 0.500 0.500 0.696
Zn 0.500 0.500 0.899
Ru 0.500 0.500 0.500

Properties
DFT formation energy ... -0.440 eV/atom
Magnetization ... 0.0 μB/cell

***

Entry 12:
Entry from Alexandria via LeMat-Bulk: a relaxed Sc4ZnRu3 crystal (PBE-GGA).

Unit cell a=7.901 b=7.901 c=7.901 alpha=33.77 beta=33.77 gamma=33.77
Fractional coordinates of all 8 atoms:
Sc 0.122 0.122 0.122
Sc 0.372 0.372 0.372
Sc 0.628 0.628 0.628
Sc 0.878 0.878 0.878
Zn 0.500 0.500 0.500
Ru 0.000 0.000 0.000
Ru 0.248 0.248 0.248
Ru 0.752 0.752 0.752

Properties
DFT formation energy ... -0.558 eV/atom
Magnetization ... 0.0 μB/cell

***

Entry 13:
Entry from Alexandria via LeMat-Bulk: a relaxed ScZnRu2 crystal (PBE-GGA).

Unit cell a=2.898 b=4.454 c=4.875 alpha=90.00 beta=100.74 gamma=90.00
Fractional coordinates of all 4 atoms:
Sc 0.000 0.000 0.000
Zn 0.570 0.500 0.202
Ru 0.200 0.500 0.668
Ru 0.569 0.000 0.499

Properties
DFT formation energy ... -0.153 eV/atom
Magnetization ... 0.0 μB/cell

***

Entry 14:
Entry from Alexandria via LeMat-Bulk: a relaxed Sc3Zn8Ru crystal (PBE-GGA).

Unit cell a=8.973 b=8.973 c=8.973 alpha=33.12 beta=33.12 gamma=33.12
Fractional coordinates of all 12 atoms:
Sc 0.000 0.000 0.000
Sc 0.126 0.126 0.126
Sc 0.610 0.610 0.610
Zn 0.057 0.057 0.558
Zn 0.057 0.558 0.057
Zn 0.066 0.560 0.560
Zn 0.309 0.309 0.309
Zn 0.558 0.057 0.057
Zn 0.560 0.066 0.560
Zn 0.560 0.560 0.066
Zn 0.810 0.810 0.810
Ru 0.502 0.502 0.502

Properties
DFT formation energy ... -0.311 eV/atom
Magnetization ... 0.0 μB/cell

***

Entry 15:
Entry from Alexandria via LeMat-Bulk: a relaxed Sc2ZnRu3 crystal (PBE-GGA).

Unit cell a=5.153 b=5.153 c=5.148 alpha=119.01 beta=119.01 gamma=61.23
Fractional coordinates of all 6 atoms:
Sc 0.123 0.123 0.377
Sc 0.877 0.877 0.623
Zn 0.500 0.500 0.000
Ru 0.000 0.500 0.000
Ru 0.500 0.000 0.000
Ru 0.500 0.500 0.500

Properties
DFT formation energy ... -0.338 eV/atom
Magnetization ... 1.0 μB/cell

***

Entry 16:
Entry from Alexandria via LeMat-Bulk: a relaxed ScZnRu2 crystal (PBE-GGA).

Unit cell a=3.210 b=3.210 c=6.045 alpha=90.00 beta=90.00 gamma=90.00
Fractional coordinates of all 4 atoms:
Sc 0.000 0.000 0.000
Zn 0.500 0.500 0.284
Ru 0.000 0.000 0.497
Ru 0.500 0.500 0.751

Properties
DFT formation energy ... -0.101 eV/atom
Magnetization ... 0.0 μB/cell

***

Entry 17:
Entry from Alexandria via LeMat-Bulk: a relaxed Sc2ZnRu crystal (PBE-GGA).

Unit cell a=5.616 b=5.616 c=5.616 alpha=146.27 beta=132.17 gamma=59.80
Fractional coordinates of all 4 atoms:
Sc 0.000 0.000 0.000
Sc 0.714 0.214 0.500
Zn 0.441 0.441 0.000
Ru 0.228 0.728 0.500

Properties
DFT formation energy ... -0.343 eV/atom
Magnetization ... 0.0 μB/cell

***

Entry 18:
Entry from Alexandria via LeMat-Bulk: a relaxed Sc3Zn8Ru crystal (PBE-GGA).

Unit cell a=5.142 b=5.142 c=8.381 alpha=90.00 beta=90.00 gamma=120.00
Fractional coordinates of all 12 atoms:
Sc 0.000 0.000 0.000
Sc 0.000 0.000 0.376
Sc 0.333 0.667 0.830
Zn 0.009 0.505 0.183
Zn 0.326 0.163 0.671
Zn 0.495 0.505 0.183
Zn 0.495 0.991 0.183
Zn 0.667 0.333 0.430
Zn 0.667 0.333 0.925
Zn 0.837 0.163 0.671
Zn 0.837 0.674 0.671
Ru 0.333 0.667 0.510

Properties
DFT formation energy ... -0.310 eV/atom
Magnetization ... 0.0 μB/cell

***

Entry 19:
Entry from Alexandria via LeMat-Bulk: a relaxed Sc2ZnRu crystal (PBE-GGA).

Unit cell a=3.242 b=3.999 c=5.665 alpha=90.00 beta=90.00 gamma=90.00
Fractional coordinates of all 4 atoms:
Sc 0.000 0.000 0.000
Sc 0.500 0.500 0.328
Zn 0.000 0.000 0.536
Ru 0.500 0.500 0.835

Properties
DFT formation energy ... -0.195 eV/atom
Magnetization ... 0.0 μB/cell

***

Entry 20:
Entry from Alexandria via LeMat-Bulk: a relaxed ZrScZnRu crystal (PBE-GGA).

Unit cell a=3.287 b=3.287 c=6.667 alpha=90.00 beta=90.00 gamma=90.00
Fractional coordinates of all 4 atoms:
Zr 0.000 0.000 0.000
Sc 0.000 0.000 0.522
Zn 0.500 0.500 0.266
Ru 0.500 0.500 0.767

Properties
DFT formation energy ... -0.487 eV/atom
Magnetization ... 0.0 μB/cell

***

Summary of DFT total energy in eV/atom
-6.091, -6.030, -6.343, -6.705, -6.570, -7.804, -5.851, -6.630, -6.254, -7.706, -5.043, -7.361, -6.692, -3.516, -7.299, -6.641, -6.146, -3.515, -5.998, -6.844
(order as listed above)